This record from Alexandria describes a relaxed Tb3SmThSc crystal. The functional is PBE.

Output
final energy: -5.35 eV per atom
formation energy: 0.041 eV per atom

a b c (Å): 7.8742 5.0192 9.9584
angles (deg): 90.00 108.64 90.00
Closest atoms and distances in Å follow each position.
Space group P2_1/m (No. 11)
Inequivalent atoms, fractional coordinates:
Tb  0.1770  0.2500  0.0419 [2 per cell]  3 Sc 3.46-3.48, 1 Th 3.48, 3 Sm 3.50-3.61, 5 Tb 3.52-3.64
Tb  0.1766  0.2500  0.5472 [2 per cell]  1 Sc 3.43, 3 Th 3.48-3.49, 3 Sm 3.54-3.65, 5 Tb 3.59-3.65
Tb  0.1780  0.7500  0.2904 [2 per cell]  1 Sc 3.43, 3 Th 3.47-3.48, 6 Tb 3.52-3.65, 2 Sm 3.63
Sm  0.1743  0.7500  0.7969 [2 per cell]  3 Sc 3.46-3.49, 8 Tb 3.50-3.65, 1 Th 3.52
Th  0.4990  0.2500  0.3756 [2 per cell]  7 Tb 3.47-3.49, 1 Sm 3.52, 2 Th 3.52, 2 Sc 3.53
Sc  0.4997  0.2500  0.8736 [2 per cell]  5 Tb 3.43-3.48, 3 Sm 3.46-3.49, 2 Th 3.53, 2 Sc 3.55


This record from Alexandria describes a relaxed TbCe3Nd2As6 crystal. The functional is PBE.

Output
final energy: -6.47 eV per atom
formation energy: -1.477 eV per atom

a b c (Å): 7.3141 12.6682 7.3105
angles (deg): 90.00 109.50 90.00
Closest atoms and distances in Å follow each position.
Space group C2/m (No. 12)
Inequivalent atoms, fractional coordinates:
Tb  0.0000  0.0000  0.0000 [2 per cell]  6 As 2.97
Ce  0.0000  0.1677  0.5000 [4 per cell]  6 As 2.96-2.99
Ce  0.0000  0.5000  0.5000 [2 per cell]  6 As 2.96-3.00
Nd  0.0000  0.3337  0.0000 [4 per cell]  6 As 3.01
As  0.2440  0.0000  0.7461 [4 per cell]  3 Ce 2.97-3.00, 1 Tb 2.97, 2 Nd 3.01
As  0.2485  0.1644  0.2527 [8 per cell]  3 Ce 2.96-2.99, 1 Tb 2.97, 2 Nd 3.01


This record from Alexandria describes a relaxed BaSr5Ca6 crystal. The functional is PBE.

Output
final energy: -1.84 eV per atom
offset from the most stable computed form: 0 meV per atom
formation energy: 0.021 eV per atom

a b c (Å): 5.8330 11.4831 17.5112
angles (deg): 90.00 90.00 90.00
Closest atoms and distances in Å follow each position.
Space group Immm (No. 71)
Inequivalent atoms, fractional coordinates:
Ba  0.0000  0.0000  0.0000 [2 per cell]  8 Ca 4.12, 4 Sr 4.15
Sr  0.0000  0.0000  0.3330 [4 per cell]  8 Ca 4.07-4.09, 4 Sr 4.10-4.13
Sr  0.0000  0.5000  0.0000 [2 per cell]  8 Ca 4.06-4.09, 4 Sr 4.13
Sr  0.0000  0.5000  0.3318 [4 per cell]  8 Ca 4.05-4.15, 2 Sr 4.10, 2 Ba 4.15
Ca  0.0000  0.2460  0.5000 [4 per cell]  6 Sr 4.06-4.15, 2 Ba 4.12, 4 Ca 4.14
Ca  0.0000  0.2518  0.1678 [8 per cell]  7 Sr 4.05-4.11, 4 Ca 4.10-4.14, 1 Ba 4.12


This record from Alexandria describes a relaxed ZnCr3As crystal. The functional is PBE.

Output
final energy: -6.10 eV per atom
offset from the most stable computed form: 0 meV per atom
formation energy: 0.856 eV per atom

a b c (Å): 4.5646 4.5646 4.5646
angles (deg): 90.00 90.00 90.00
Closest atoms and distances in Å follow each position.
Space group Pm-3m (No. 221)
Inequivalent atoms, fractional coordinates:
Zn  0.0000  0.0000  0.0000 [1 per cell]  12 Cr 3.23
Cr  0.0000  0.5000  0.5000 [3 per cell]  2 As 2.28
As  0.5000  0.5000  0.5000 [1 per cell]  6 Cr 2.28


This record from Alexandria describes a relaxed NpScU2P4 crystal. The functional is PBE.

Output
final energy: -9.01 eV per atom
formation energy: -1.071 eV per atom

a b c (Å): 6.7516 3.9005 6.7578
angles (deg): 90.00 109.42 90.00
Closest atoms and distances in Å follow each position.
Space group P2/m (No. 10)
Inequivalent atoms, fractional coordinates:
Np  0.0000  0.0000  0.0000 [1 per cell]  6 P 2.76-2.77
Sc  0.5000  0.5000  0.0000 [1 per cell]  6 P 2.70-2.72
U  0.0000  0.5000  0.5000 [1 per cell]  6 P 2.80-2.81
U  0.5000  0.0000  0.5000 [1 per cell]  6 P 2.75-2.76
P  0.2553  0.5000  0.2456 [2 per cell]  1 Sc 2.70, 3 U 2.76-2.81, 2 Np 2.76
P  0.2578  0.0000  0.7563 [2 per cell]  2 Sc 2.72, 3 U 2.75-2.80, 1 Np 2.77


This record from Alexandria describes a relaxed NdAs2Ir crystal. The functional is PBE.

Output
final energy: -6.52 eV per atom
offset from the most stable computed form: 40 meV per atom
formation energy: -0.790 eV per atom

a b c (Å): 5.8780 5.8864 10.1876
angles (deg): 90.00 90.00 90.00
Closest atoms and distances in Å follow each position.
Space group F222 (No. 22)
Inequivalent atoms, fractional coordinates:
Nd  0.0000  0.0000  0.0000 [4 per cell]  8 As 3.22, 4 Ir 3.29
As  0.0000  0.0000  0.3707 [8 per cell]  2 Ir 2.42, 1 As 2.64
Ir  0.2500  0.2500  0.2500 [4 per cell]  4 As 2.42


This record from Alexandria describes a relaxed HoU2Tl3Te6 crystal. The functional is PBE.

Output
final energy: -5.11 eV per atom
ΔE_f (raw): -0.68 eV per atom

a b c (Å): 7.6672 13.2767 8.6684
angles (deg): 90.00 107.15 90.00
Closest atoms and distances in Å follow each position.
Space group C2/m (No. 12)
Inequivalent atoms, fractional coordinates:
Ho  0.0000  0.0000  0.0000 [2 per cell]  6 Te 3.10
U  0.0000  0.3335  0.0000 [4 per cell]  6 Te 3.12-3.13
Tl  0.0000  0.1673  0.5000 [4 per cell]  6 Te 3.47-3.49
Tl  0.0000  0.5000  0.5000 [2 per cell]  6 Te 3.47-3.49
Te  0.2368  0.1652  0.2148 [8 per cell]  1 Ho 3.10, 2 U 3.12
Te  0.2416  0.5000  0.2156 [4 per cell]  1 Ho 3.10, 2 U 3.13


This record from Alexandria describes a relaxed GeRu3Rh crystal. The functional is PBE.

Output
final energy: -6.18 eV per atom
offset from the most stable computed form: 447 meV per atom
formation energy: 1.784 eV per atom

a b c (Å): 4.6548 4.6548 4.6548
angles (deg): 90.00 90.00 90.00
Closest atoms and distances in Å follow each position.
Space group Pm-3m (No. 221)
Inequivalent atoms, fractional coordinates:
Ge  0.0000  0.0000  0.0000 [1 per cell]  12 Ru 3.29
Ru  0.0000  0.5000  0.5000 [3 per cell]  2 Rh 2.33
Rh  0.5000  0.5000  0.5000 [1 per cell]  6 Ru 2.33


This record from Alexandria describes a relaxed Ca3Tb3TmSe8 crystal. The functional is PBE.

Output
final energy: -5.40 eV per atom
ΔE_f (raw): -1.92 eV per atom

a b c (Å): 8.2085 8.2085 20.5387
angles (deg): 90.00 90.00 120.00
Closest atoms and distances in Å follow each position.
Space group R-3m (No. 166, hexagonal axes)
Inequivalent atoms, fractional coordinates:
Ca  0.0000  0.5000  0.0000 [9 per cell]  6 Se 2.94-2.95
Tb  0.0000  0.5000  0.5000 [9 per cell]  6 Se 2.90-2.91
Tm  0.0000  0.0000  0.5000 [3 per cell]  6 Se 2.86
Se  0.0000  0.0000  0.2489 [6 per cell]  3 Tb 2.91, 3 Ca 2.94
Se  0.0038  0.5019  0.2467 [18 per cell]  1 Tm 2.86, 2 Tb 2.90, 2 Ca 2.95


This record from Alexandria describes a relaxed UCu2IO8 crystal. The functional is PBE.

Output
final energy: -6.14 eV per atom
ΔE_f (raw): -1.08 eV per atom

a b c (Å): 6.5935 6.5935 6.9202
angles (deg): 90.00 90.00 90.00
Closest atoms and distances in Å follow each position.
Space group I-4m2 (No. 119)
Inequivalent atoms, fractional coordinates:
U  0.0000  0.0000  0.0000 [2 per cell]  4 O 2.09
Cu  0.0000  0.0000  0.5000 [2 per cell]  4 O 1.89
Cu  0.0000  0.5000  0.7500 [2 per cell]  4 O 1.91
I  0.0000  0.5000  0.2500 [2 per cell]  4 O 2.07
O  0.0000  0.1899  0.2954 [8 per cell]  1 Cu 1.89, 1 I 2.07
O  0.0000  0.3141  0.9622 [8 per cell]  1 Cu 1.91, 1 U 2.09


This record from Alexandria describes a relaxed La6FeS2Cl3 crystal. The functional is PBE.

Output
final energy: -5.82 eV per atom
ΔE_f (raw): -1.50 eV per atom

a b c (Å): 7.3356 12.4450 7.3252
angles (deg): 90.00 110.35 90.00
Closest atoms and distances in Å follow each position.
Space group C2/m (No. 12)
Inequivalent atoms, fractional coordinates:
La  0.2287  0.1547  0.2178 [8 per cell]  1 Fe 2.68, 2 S 2.90-2.96
La  0.2490  0.5000  0.2372 [4 per cell]  2 S 2.91, 1 Fe 2.94, 3 Cl 3.08
Fe  0.0000  0.0000  0.0000 [2 per cell]  6 La 2.68-2.94
S  0.0000  0.3329  0.0000 [4 per cell]  6 La 2.90-2.96
Cl  0.0000  0.1775  0.5000 [4 per cell]  6 La 3.08-3.12
Cl  0.0000  0.5000  0.5000 [2 per cell]  6 La 3.01-3.08


This record from Alexandria describes a relaxed Ac3Hg4Pb2 crystal. The functional is PBE.

Output
final energy: -2.81 eV per atom
offset from the most stable computed form: 0 meV per atom
formation energy: -0.478 eV per atom

a b c (Å): 12.6073 4.9497 9.8059
angles (deg): 90.00 109.99 90.00
Closest atoms and distances in Å follow each position.
Space group C2/m (No. 12)
Inequivalent atoms, fractional coordinates:
Ac  0.0000  0.0000  0.0000 [2 per cell]  4 Hg 3.34-3.42, 4 Pb 3.59
Ac  0.1731  0.5000  0.6513 [4 per cell]  4 Hg 3.36-3.48, 3 Pb 3.50-3.51
Hg  0.0077  0.0000  0.3520 [4 per cell]  2 Hg 2.97-3.29, 2 Pb 3.05
Hg  0.2355  0.0000  0.9166 [4 per cell]  2 Hg 2.92, 1 Pb 3.07
Pb  0.1169  0.5000  0.2757 [4 per cell]  3 Hg 3.05-3.07


This record from Alexandria describes a relaxed Tb6Sn3Au crystal. The functional is PBE.

Output
final energy: -4.80 eV per atom
formation energy: -0.488 eV per atom

a b c (Å): 10.9220 14.8887 7.1954
angles (deg): 90.00 90.00 90.00
Closest atoms and distances in Å follow each position.
Space group Cmc2_1 (No. 36)
Inequivalent atoms, fractional coordinates:
Tb  0.0000  0.0382  0.0000 [4 per cell]  1 Au 2.85, 4 Sn 3.11-3.15
Tb  0.0000  0.2919  0.0221 [4 per cell]  1 Au 3.05
Tb  0.1782  0.2938  0.5555 [8 per cell]  1 Au 2.96, 3 Sn 3.00-3.21
Tb  0.2246  0.4494  0.1965 [8 per cell]  4 Sn 3.12-3.22, 1 Au 3.43
Sn  0.0000  0.4614  0.4846 [4 per cell]  6 Tb 3.18-3.22
Sn  0.1447  0.1245  0.3267 [8 per cell]  6 Tb 3.00-3.21, 1 Au 3.15, 1 Sn 3.16
Au  0.0000  0.1609  0.6970 [4 per cell]  4 Tb 2.85-3.05, 2 Sn 3.15


This record from Alexandria describes a relaxed Ba2CaMn crystal. The functional is PBE.

Output
final energy: -3.21 eV per atom
offset from the most stable computed form: 220 meV per atom
formation energy: 0.540 eV per atom

a b c (Å): 9.8931 9.8931 7.1589
angles (deg): 90.00 90.00 90.00
Closest atoms and distances in Å follow each position.
Space group I-42d (No. 122)
Inequivalent atoms, fractional coordinates:
Ba  0.1947  0.2500  0.1250 [8 per cell]  2 Mn 3.26
Ca  0.0000  0.0000  0.5000 [4 per cell]  2 Mn 3.58, 4 Ba 4.01
Mn  0.0000  0.0000  0.0000 [4 per cell]  4 Ba 3.26, 2 Ca 3.58


This record from Alexandria describes a relaxed Rb2NaCuI6 crystal. The functional is PBE.

Output
final energy: -2.43 eV per atom
ΔE_f (raw): -0.76 eV per atom

a b c (Å): 8.3060 8.3060 11.7567
angles (deg): 90.00 90.00 90.00
Closest atoms and distances in Å follow each position.
Space group I4/mmm (No. 139)
Inequivalent atoms, fractional coordinates:
Rb  0.0000  0.5000  0.2500 [4 per cell]  12 I 4.16
Na  0.0000  0.0000  0.0000 [2 per cell]  6 I 3.10-3.12
Cu  0.0000  0.0000  0.5000 [2 per cell]  6 I 2.76-2.77
I  0.0000  0.0000  0.2652 [4 per cell]  1 Cu 2.76
I  0.2357  0.2357  0.5000 [8 per cell]  1 Cu 2.77


This record from Alexandria describes a relaxed NbNiPd crystal. The functional is PBE.

Output
final energy: -7.19 eV per atom
offset from the most stable computed form: 163 meV per atom
formation energy: -0.175 eV per atom

a b c (Å): 4.3480 4.3480 2.7101
angles (deg): 90.00 90.00 120.00
Closest atoms and distances in Å follow each position.
Space group P3m1 (No. 156)
Inequivalent atoms, fractional coordinates:
Nb  0.0000  0.0000  0.0000 [1 per cell]  3 Ni 2.63, 2 Nb 2.71, 3 Pd 2.74
Ni  0.3333  0.6667  0.7096 [1 per cell]  3 Nb 2.63, 3 Pd 2.64, 2 Ni 2.71
Pd  0.6667  0.3333  0.4027 [1 per cell]  3 Ni 2.64, 2 Pd 2.71, 3 Nb 2.74


This record from Alexandria describes a relaxed LaBeZn2 crystal. The functional is PBE.

Output
final energy: -2.74 eV per atom
formation energy: 0.056 eV per atom

a b c (Å): 3.0363 3.0363 7.6143
angles (deg): 90.00 90.00 90.00
Closest atoms and distances in Å follow each position.
Space group P4/mmm (No. 123)
Inequivalent atoms, fractional coordinates:
La  0.0000  0.0000  0.0000 [1 per cell]  4 La 3.04, 8 Zn 3.25
Be  0.0000  0.0000  0.5000 [1 per cell]  8 Zn 2.54
Zn  0.5000  0.5000  0.3208 [2 per cell]  4 Be 2.54, 1 Zn 2.73


This record from Alexandria describes a relaxed CeSm2 crystal. The functional is PBE.

Output
final energy: -4.74 eV per atom
offset from the most stable computed form: 323 meV per atom
formation energy: 0.380 eV per atom

a b c (Å): 9.3671 9.3671 9.3671
angles (deg): 90.00 90.00 90.00
Closest atoms and distances in Å follow each position.
Space group Fd-3m (No. 227, origin choice 2)
Inequivalent atoms, fractional coordinates:
Ce  0.1250  0.1250  0.1250 [8 per cell]  12 Sm 3.88, 4 Ce 4.06
Sm  0.0000  0.0000  0.5000 [16 per cell]  6 Sm 3.31


This record from Alexandria describes a relaxed Rb2Hg3Au2 crystal. The functional is PBE.

Output
final energy: -1.58 eV per atom
formation energy: -0.236 eV per atom

a b c (Å): 12.4112 4.6860 8.4433
angles (deg): 90.00 116.46 90.00
Closest atoms and distances in Å follow each position.
Space group C2/m (No. 12)
Inequivalent atoms, fractional coordinates:
Rb  0.1386  0.0000  0.2737 [4 per cell]  4 Au 3.51-3.71, 6 Hg 3.67-3.88
Hg  0.0000  0.5000  0.5000 [2 per cell]  4 Au 3.00, 2 Hg 3.28
Hg  0.1313  0.5000  0.9343 [4 per cell]  3 Au 3.02-3.05, 1 Hg 3.28
Au  0.1407  0.0000  0.7149 [4 per cell]  5 Hg 3.00-3.05


This record from Alexandria describes a relaxed Al9ZnGa2 crystal. The functional is PBE.

Output
final energy: -3.40 eV per atom
formation energy: 0.015 eV per atom

a b c (Å): 4.0396 4.0396 12.2136
angles (deg): 90.00 90.00 90.00
Closest atoms and distances in Å follow each position.
Space group P4/mmm (No. 123)
Inequivalent atoms, fractional coordinates:
Al  0.0000  0.0000  0.0000 [1 per cell]  8 Al 2.85, 4 Zn 2.86
Al  0.0000  0.0000  0.3317 [2 per cell]  4 Ga 2.86, 8 Al 2.87-2.88
Al  0.0000  0.5000  0.1648 [4 per cell]  8 Al 2.85-2.87, 2 Zn 2.85, 2 Ga 2.89
Al  0.0000  0.5000  0.5000 [2 per cell]  8 Al 2.86-2.88, 4 Ga 2.87
Zn  0.5000  0.5000  0.0000 [1 per cell]  12 Al 2.85-2.86
Ga  0.5000  0.5000  0.3335 [2 per cell]  12 Al 2.86-2.89


Number 1: total moment 0.00 Bohr magnetons per cell. Number 2: total moment 3.76 Bohr magnetons per cell. Number 3: total moment 0.00 Bohr magnetons per cell. Number 4: total moment 9.00 Bohr magnetons per cell. Number 5: total moment 8.07 Bohr magnetons per cell. Number 6: total moment 0.00 Bohr magnetons per cell. Number 7: total moment 12.00 Bohr magnetons per cell. Number 8: total moment 0.00 Bohr magnetons per cell. Number 9: total moment 0.00 Bohr magnetons per cell. Number 10: total moment 3.92 Bohr magnetons per cell. Number 11: total moment 0.00 Bohr magnetons per cell. Number 12: total moment 0.00 Bohr magnetons per cell. Number 13: total moment 0.00 Bohr magnetons per cell. Number 14: total moment 13.73 Bohr magnetons per cell. Number 15: total moment 0.00 Bohr magnetons per cell. Number 16: total moment 0.00 Bohr magnetons per cell. Number 17: total moment 0.00 Bohr magnetons per cell. Number 18: total moment 13.99 Bohr magnetons per cell. Number 19: total moment 0.00 Bohr magnetons per cell. Number 20: total moment 0.00 Bohr magnetons per cell.